# 1
LaScBr2 | Alexandria | SCAN | single point on PBEsol structure; total moment = 0.00 μB/cell; polymorph energy (0 for the lowest one) = 0.355 eV per atom; volume = 92 Å³ per cell; raw formation energy = -0.94 eV per atom
1.0
0.0000 3.5771 3.5771
3.5771 0.0000 3.5771
3.5771 3.5771 0.0000
La Sc Br
1 1 2
direct
0.0000 0.0000 0.0000
0.5000 0.5000 0.5000
0.2500 0.2500 0.2500
0.7500 0.7500 0.7500

***

# 2
Li3Cu | Alexandria | SCAN | single point on PBEsol structure; total moment = 0.00 μB/cell; formation enthalpy at 0 K = 0.2 eV/f.u.; volume = 118 Å³ per cell
1.0
4.9022 0.0000 0.0000
0.0000 4.9022 0.0000
0.0000 0.0000 4.9022
Li Cu
6 2
direct
0.0000 0.2500 0.5000
0.0000 0.7500 0.5000
0.2500 0.5000 0.0000
0.5000 0.0000 0.2500
0.5000 0.0000 0.7500
0.7500 0.5000 0.0000
0.0000 0.0000 0.0000
0.5000 0.5000 0.5000

***

# 3
CoIr2W | Alexandria | SCAN | single point on PBEsol structure; total moment = 1.99 μB/cell; polymorph energy (0 for the lowest one) = 0.079 eV per atom; formation enthalpy at 0 K = -0.9 eV/f.u.; volume = 54 Å³ per cell
1.0
2.7173 0.0000 0.0000
0.0000 3.7072 0.0000
0.0000 0.0000 5.3989
Co Ir W
1 2 1
direct
0.0000 0.0000 0.0000
0.5000 0.5000 0.2385
0.5000 0.5000 0.7615
0.0000 0.0000 0.5000

***

# 4
La2CrRuW | Alexandria | SCAN | single point on PBEsol structure; total moment = 1.89 μB/cell; formation enthalpy at 0 K = 5.6 eV/f.u.; volume = 130 Å³ per cell
1.0
5.3548 0.0000 0.0000
0.0000 5.3548 0.0000
0.0000 0.0000 4.5250
La Cr Ru W
2 1 1 1
direct
0.0000 0.5000 0.0000
0.5000 0.0000 0.0000
0.0000 0.0000 0.5000
0.5000 0.5000 0.5000
0.0000 0.0000 0.0000

***

# 5
Na2FeO2 | Alexandria | SCAN | single point on PBEsol structure; total moment = 16.12 μB/cell; volume = 258 Å³ per cell; raw formation energy = -1.43 eV per atom
1.0
7.8374 0.0000 0.0000
0.0000 5.9679 0.0000
-1.2305 0.0000 5.5150
Na Fe O
8 4 8
direct
0.0284 0.2455 0.0097
0.0284 0.2545 0.5097
0.3243 0.6281 0.8961
0.3243 0.8719 0.3961
0.6757 0.1281 0.6039
0.6757 0.3719 0.1039
0.9716 0.7455 0.4903
0.9716 0.7545 0.9903
0.3657 0.1069 0.8614
0.3657 0.3931 0.3614
0.6343 0.6069 0.6386
0.6343 0.8931 0.1386
0.1480 0.5340 0.2890
0.1480 0.9660 0.7890
0.4657 0.1366 0.2184
0.4657 0.3634 0.7184
0.5343 0.6366 0.2816
0.5343 0.8634 0.7816
0.8520 0.0340 0.2110
0.8520 0.4660 0.7110

***

# 6
Zn2FeCo | Alexandria | SCAN | single point on PBEsol structure; total moment = 4.12 μB/cell; polymorph energy (0 for the lowest one) = 0.020 eV per atom; formation enthalpy at 0 K = -0.1 eV/f.u.; volume = 47 Å³ per cell
1.0
-1.7815 1.7815 3.7293
1.7815 -1.7815 3.7293
1.7815 1.7815 -3.7293
Zn Fe Co
2 1 1
direct
0.2500 0.7500 0.5000
0.7500 0.2500 0.5000
0.0000 0.0000 0.0000
0.5000 0.5000 0.0000

***

# 7
La5Sn3 | Alexandria | SCAN | single point on PBEsol structure; total moment = 0.00 μB/cell; polymorph energy (0 for the lowest one) = 0.010 eV per atom; formation enthalpy at 0 K = -6.6 eV/f.u.; volume = 493 Å³ per cell
1.0
-6.3113 6.3113 3.0971
6.3113 -6.3113 3.0971
6.3113 6.3113 -3.0971
La Sn
10 6
direct
0.0870 0.7804 0.8674
0.2196 0.0870 0.3067
0.2500 0.7500 0.5000
0.2804 0.5870 0.8674
0.4130 0.2804 0.6933
0.5870 0.7196 0.3067
0.7196 0.4130 0.1326
0.7500 0.2500 0.5000
0.7804 0.9130 0.6933
0.9130 0.2196 0.1326
0.1600 0.3400 0.5000
0.2500 0.2500 0.0000
0.3400 0.8400 0.1799
0.6600 0.1600 0.8201
0.7500 0.7500 0.0000
0.8400 0.6600 0.5000

***

# 8
SnTeRh3 | Alexandria | SCAN | single point on PBEsol structure; total moment = 1.54 μB/cell; volume = 109 Å³ per cell; raw formation energy = 0.70 eV per atom
1.0
4.7834 0.0000 0.0000
0.0000 4.7834 0.0000
0.0000 0.0000 4.7834
Sn Te Rh
1 1 3
direct
0.0000 0.0000 0.0000
0.5000 0.5000 0.5000
0.0000 0.5000 0.5000
0.5000 0.0000 0.5000
0.5000 0.5000 0.0000

***

# 9
La2AsIr | Alexandria | SCAN | single point on PBEsol structure; total moment = 0.00 μB/cell; formation enthalpy at 0 K = -3.9 eV/f.u.; volume = 94 Å³ per cell
1.0
3.5488 -3.5889 0.0000
3.5488 3.5889 0.0000
0.0000 0.0000 3.6885
La As Ir
2 1 1
direct
0.0000 0.5000 0.0000
0.5000 0.0000 0.0000
0.0000 0.0000 0.5000
0.5000 0.5000 0.5000

***

# 10
BeCd2BiPb | Alexandria | SCAN | single point on PBEsol structure; total moment = 0.00 μB/cell; formation enthalpy at 0 K = 1.7 eV/f.u.; volume = 120 Å³ per cell
1.0
4.7439 0.0000 0.0000
0.0000 4.7439 0.0000
0.0000 0.0000 5.3251
Be Cd Bi Pb
1 2 1 1
direct
0.0000 0.0000 0.0000
0.0000 0.5000 0.0000
0.5000 0.0000 0.0000
0.5000 0.5000 0.5000
0.0000 0.0000 0.5000

***

# 11
ZrSbW | Alexandria | SCAN | single point on PBEsol structure; total moment = 0.00 μB/cell; polymorph energy (0 for the lowest one) = 0.000 eV per atom; volume = 59 Å³ per cell; raw formation energy = 0.24 eV per atom
1.0
0.0000 2.5055 6.5975
1.7761 0.0000 6.5975
1.7761 2.5055 0.0000
Zr Sb W
1 1 1
direct
0.0000 0.0000 0.0000
0.3233 0.3233 0.6767
0.6620 0.6620 0.3380

***

# 12
CaAl2Te | Alexandria | SCAN | single point on PBEsol structure; total moment = 0.00 μB/cell; volume = 94 Å³ per cell; raw formation energy = -0.32 eV per atom
1.0
-1.9481 2.2405 5.3939
1.9481 -2.2405 5.3939
1.9481 2.2405 -5.3939
Ca Al Te
1 2 1
direct
0.0000 0.0000 0.0000
0.2616 0.7616 0.5000
0.7384 0.2384 0.5000
0.5000 0.5000 0.0000

***

# 13
Ce2Ni21B6 | Alexandria | SCAN | single point on PBEsol structure; total moment = 0.00 μB/cell; formation enthalpy at 0 K = -9.0 eV/f.u.; volume = 294 Å³ per cell
1.0
0.0000 5.2764 5.2764
5.2764 0.0000 5.2764
5.2764 5.2764 0.0000
Ce Ni B
2 21 6
direct
0.2500 0.2500 0.2500
0.7500 0.7500 0.7500
0.0000 0.0000 0.0000
0.0000 0.0000 0.3376
0.0000 0.0000 0.6624
0.0000 0.3376 0.0000
0.0000 0.3376 0.6624
0.0000 0.6624 0.0000
0.0000 0.6624 0.3376
0.1597 0.6134 0.6134
0.3376 0.0000 0.0000
0.3376 0.0000 0.6624
0.3376 0.6624 0.0000
0.3866 0.3866 0.3866
0.3866 0.3866 0.8403
0.3866 0.8403 0.3866
0.6134 0.1597 0.6134
0.6134 0.6134 0.1597
0.6134 0.6134 0.6134
0.6624 0.0000 0.0000
0.6624 0.0000 0.3376
0.6624 0.3376 0.0000
0.8403 0.3866 0.3866
0.2682 0.2682 0.7318
0.2682 0.7318 0.2682
0.2682 0.7318 0.7318
0.7318 0.2682 0.2682
0.7318 0.2682 0.7318
0.7318 0.7318 0.2682

***

# 14
RbTiMnBe2 | Alexandria | SCAN | single point on PBEsol structure; total moment = 0.89 μB/cell; formation enthalpy at 0 K = 5.7 eV/f.u.; volume = 112 Å³ per cell
1.0
5.0048 0.0000 0.0000
0.0000 5.0048 0.0000
0.0000 0.0000 4.4646
Rb Ti Mn Be
1 1 1 2
direct
0.0000 0.0000 0.0000
0.5000 0.5000 0.5000
0.5000 0.5000 0.0000
0.0000 0.5000 0.5000
0.5000 0.0000 0.5000

***

# 15
LiInHg2 | Alexandria | SCAN | single point on PBEsol structure; total moment = 0.00 μB/cell; formation enthalpy at 0 K = -0.8 eV/f.u.; volume = 85 Å³ per cell
1.0
3.3853 0.0000 0.0000
0.0000 4.1003 0.0000
0.0000 0.0000 6.1253
Li In Hg
1 1 2
direct
0.0000 0.0000 0.0000
0.5000 0.5000 0.7278
0.0000 0.0000 0.4783
0.5000 0.5000 0.2054

***

# 16
LiYHf2C | Alexandria | SCAN | single point on PBEsol structure; total moment = 0.16 μB/cell; formation enthalpy at 0 K = -0.5 eV/f.u.; volume = 98 Å³ per cell
1.0
4.4600 0.0000 0.0000
0.0000 4.4600 0.0000
0.0000 0.0000 4.9178
Li Y Hf C
1 1 2 1
direct
0.0000 0.0000 0.0000
0.5000 0.5000 0.0000
0.0000 0.5000 0.5000
0.5000 0.0000 0.5000
0.5000 0.5000 0.5000

***

# 17
TiCdSiTc2 | Alexandria | SCAN | single point on PBEsol structure; total moment = 2.65 μB/cell; volume = 104 Å³ per cell; raw formation energy = 1.90 eV per atom
1.0
4.8573 0.0000 0.0000
0.0000 4.8573 0.0000
0.0000 0.0000 4.3897
Ti Cd Si Tc
1 1 1 2
direct
0.0000 0.0000 0.0000
0.5000 0.5000 0.5000
0.5000 0.5000 0.0000
0.0000 0.5000 0.5000
0.5000 0.0000 0.5000

***

# 18
Y2TlNi | Alexandria | SCAN | single point on PBEsol structure; total moment = 0.00 μB/cell; formation enthalpy at 0 K = -1.9 eV/f.u.; volume = 89 Å³ per cell
1.0
3.4247 0.0000 0.0000
0.0000 3.4247 0.0000
0.0000 0.0000 7.5783
Y Tl Ni
2 1 1
direct
0.0000 0.0000 0.2116
0.0000 0.0000 0.7884
0.5000 0.5000 0.5000
0.5000 0.5000 0.0000

***

# 19
HgBAsBr2 | Alexandria | SCAN | single point on PBEsol structure; total moment = 1.62 μB/cell; volume = 153 Å³ per cell; raw formation energy = 1.30 eV per atom
1.0
5.4446 0.0000 0.0000
0.0000 5.4446 0.0000
0.0000 0.0000 5.1690
Hg B As Br
1 1 1 2
direct
0.0000 0.0000 0.0000
0.5000 0.5000 0.5000
0.0000 0.0000 0.5000
0.0000 0.5000 0.0000
0.5000 0.0000 0.0000

***

# 20
Ba2CaSi | Alexandria | SCAN | single point on PBEsol structure; total moment = 1.73 μB/cell; polymorph energy (0 for the lowest one) = 0.116 eV per atom; volume = 129 Å³ per cell; raw formation energy = 0.12 eV per atom
1.0
0.0000 4.0100 4.0100
4.0100 0.0000 4.0100
4.0100 4.0100 0.0000
Ba Ca Si
2 1 1
direct
0.0000 0.0000 0.0000
0.2500 0.2500 0.2500
0.7500 0.7500 0.7500
0.5000 0.5000 0.5000

***

# 21
Sr2AsRuCl | Alexandria | SCAN | single point on PBEsol structure; total moment = 0.13 μB/cell; volume = 156 Å³ per cell; raw formation energy = -0.73 eV per atom
1.0
5.9163 0.0000 0.0000
0.0000 5.9163 0.0000
0.0000 0.0000 4.4496
Sr As Ru Cl
2 1 1 1
direct
0.0000 0.5000 0.0000
0.5000 0.0000 0.0000
0.0000 0.0000 0.0000
0.0000 0.0000 0.5000
0.5000 0.5000 0.5000

***

# 22
GeAsF2 | Alexandria | SCAN | single point on PBEsol structure; total moment = 0.00 μB/cell; volume = 56 Å³ per cell; raw formation energy = -0.96 eV per atom
1.0
1.4230 0.8216 7.9624
-1.4230 0.8216 7.9624
0.0000 -1.6432 7.9624
Ge As F
1 1 2
direct
0.0000 0.0000 0.0000
0.5000 0.5000 0.5000
0.0854 0.0854 0.0854
0.9146 0.9146 0.9146

***

# 23
KCoCu | Alexandria | SCAN | single point on PBEsol structure; total moment = 1.72 μB/cell; formation enthalpy at 0 K = 1.9 eV/f.u.; volume = 57 Å³ per cell
1.0
-1.2951 1.9590 5.6472
1.2951 -1.9590 5.6472
1.2951 1.9590 -5.6472
K Co Cu
1 1 1
direct
0.0000 0.0000 0.0000
0.2708 0.2708 0.0000
0.7265 0.7265 0.0000

***

# 24
Cs3Bi2 | Alexandria | SCAN | single point on PBEsol structure; total moment = 2.06 μB/cell; formation enthalpy at 0 K = -2.3 eV/f.u.; volume = 496 Å³ per cell
1.0
4.9491 -5.1686 0.0000
4.9491 5.1686 0.0000
-2.5070 0.0000 9.6995
Cs Bi
6 4
direct
0.1546 0.8454 0.7500
0.2430 0.3407 0.0171
0.3407 0.2430 0.5171
0.6593 0.7570 0.4829
0.7570 0.6593 0.9829
0.8454 0.1546 0.2500
0.1167 0.6898 0.3402
0.3102 0.8833 0.1598
0.6898 0.1167 0.8402
0.8833 0.3102 0.6597

***

# 25
RbBSe3 | Alexandria | SCAN | single point on PBEsol structure; total moment = 0.00 μB/cell; volume = 531 Å³ per cell; raw formation energy = -0.67 eV per atom
1.0
7.2413 0.0000 0.0000
0.0000 12.2978 0.0000
-1.6013 0.0000 5.9596
Rb B Se
4 4 12
direct
0.2411 0.0764 0.2931
0.2411 0.4236 0.7931
0.7589 0.5764 0.2069
0.7589 0.9236 0.7069
0.2052 0.7301 0.1894
0.2052 0.7699 0.6894
0.7948 0.2301 0.3106
0.7948 0.2699 0.8106
0.0426 0.6930 0.8746
0.0426 0.8070 0.3746
0.3045 0.5876 0.3459
0.3045 0.9124 0.8459
0.4484 0.6814 0.6860
0.4484 0.8186 0.1860
0.5516 0.1814 0.8140
0.5516 0.3186 0.3140
0.6955 0.0876 0.1541
0.6955 0.4124 0.6541
0.9574 0.1930 0.6254
0.9574 0.3070 0.1254